8
Lattice="4.359 0.000 0.000 0.000 4.359 0.000 0.000 0.000 12.379" Properties=species:S:1:pos:R:3 comment="SnPb3Se4, relaxed, DFT PBE-GGA" rho_g_cm3=7.46 dft_energy_ev_per_cell=-33.3 formation_energy_uncorrected_ev_per_atom=-0.53 de_polymorph_kj_per_mol_atoms=0.4 crystal_system=tetragonal total_magnetization_mub_per_fu=0.0 pbc="T T T"
Sn 0.000 0.000 0.000
Pb 0.000 0.000 6.189
Pb 2.180 2.180 3.078
Pb 2.180 2.180 9.300
Se 0.000 0.000 3.048
Se 0.000 0.000 9.330
Se 2.180 2.180 0.000
Se 2.180 2.180 6.189